1.
The following is a PBE calculation of an optimized crystal structure of CeDyPuTh, from the Alexandria database.

Properties
ΔH_f (0 K) in eV per atom: 0.252
Spin magnetization in μB/cell: 9.16
SG: F-43m (216)
Calculated density in g cm⁻³: 10.67

Cell lengths 5.5545, 5.5545, 5.5545 Å; angles 60.00, 60.00, 60.00 degrees
Atoms (fractional coordinates):
1 Ce 0.0000 0.0000 0.0000
2 Dy 0.7500 0.7500 0.7500
3 Pu 0.5000 0.5000 0.5000
4 Th 0.2500 0.2500 0.2500

---

2.
The following is a PBE calculation of an optimized crystal structure of HfW2N2, from the Alexandria database.

Properties
Energy above the lowest structure with this stoichiometry in eV per atom: 0.4340
Spin magnetization in μB/cell: 0.00
SG: I4/mmm (139)
Calculated density in g cm⁻³: 12.01
E_form (uncorrected) in eV/atom: 0.040

Cell lengths 5.5296, 5.5296, 5.5296 Å; angles 136.39, 136.39, 63.38 degrees
Atoms (fractional coordinates):
1 Hf 0.0000 0.0000 0.0000
2 W 0.2500 0.7500 0.5000
3 W 0.7500 0.2500 0.5000
4 N 0.2372 0.2372 0.0000
5 N 0.7628 0.7628 0.0000

---

3.
The following is a PBE calculation of an optimized crystal structure of NaHgBOs2, from the Alexandria database.

Properties
ΔH_f (0 K) in eV per atom: 0.757
Spin magnetization in μB/cell: 0.00
SG: P4/mmm (123)
Calculated density in g cm⁻³: 12.67

Cell lengths 4.1381, 4.1381, 4.7042 Å; angles 90.00, 90.00, 90.00 degrees
Atoms (fractional coordinates):
1 Na 0.0000 0.0000 0.0000
2 Hg 0.5000 0.5000 0.0000
3 B 0.5000 0.5000 0.5000
4 Os 0.0000 0.5000 0.5000
5 Os 0.5000 0.0000 0.5000

---

4.
The following is a PBE calculation of an optimized crystal structure of LaZnPt2, from the Alexandria database.

Properties
ΔH_f (0 K) in eV per atom: -0.550
Spin magnetization in μB/cell: 0.00
SG: F-43m (216)
Calculated density in g cm⁻³: 12.34

Cell lengths 4.8369, 4.8369, 4.8369 Å; angles 60.00, 60.00, 60.00 degrees
Atoms (fractional coordinates):
1 La 0.0000 0.0000 0.0000
2 Zn 0.2500 0.2500 0.2500
3 Pt 0.5000 0.5000 0.5000
4 Pt 0.7500 0.7500 0.7500

---

5.
The following is a PBE calculation of an optimized crystal structure of NiRh2, from the Alexandria database.

Properties
ΔH_f (0 K) in eV per atom: 0.082
Energy above the lowest structure with this stoichiometry in eV per atom: 0.0421
Spin magnetization in μB/cell: 3.92
SG: P-62m (189)
Calculated density in g cm⁻³: 11.01

Cell lengths 7.1785, 7.1785, 2.6813 Å; angles 90.00, 90.00, 120.00 degrees
Atoms (fractional coordinates):
1 Ni 0.0000 0.0000 0.0000
2 Ni 0.3333 0.6667 0.5000
3 Ni 0.6667 0.3333 0.5000
4 Rh 0.0000 0.2996 0.5000
5 Rh 0.0000 0.6352 0.0000
6 Rh 0.2996 0.0000 0.5000
7 Rh 0.3648 0.3648 0.0000
8 Rh 0.6352 0.0000 0.0000
9 Rh 0.7004 0.7004 0.5000

---

6.
The following is a PBE calculation of an optimized crystal structure of GaRe3W, from the Alexandria database.

Properties
ΔH_f (0 K) in eV per atom: 1.867
Energy above the lowest structure with this stoichiometry in eV per atom: 0.0000
Spin magnetization in μB/cell: 0.00
SG: Pm-3m (221)
Calculated density in g cm⁻³: 15.39

Cell lengths 4.4416, 4.4416, 4.4416 Å; angles 90.00, 90.00, 90.00 degrees
Atoms (fractional coordinates):
1 Ga 0.0000 0.0000 0.0000
2 Re 0.0000 0.0000 0.5000
3 Re 0.0000 0.5000 0.0000
4 Re 0.5000 0.0000 0.0000
5 W 0.5000 0.5000 0.5000

---

7.
The following is a PBE calculation of an optimized crystal structure of CeNd2VN4, from the Alexandria database.

Properties
Spin magnetization in μB/cell: 1.59
SG: Cmcm (63)
Calculated density in g cm⁻³: 7.05
E_form (uncorrected) in eV/atom: -1.161

Cell lengths 6.1926, 6.1926, 12.2778 Å; angles 90.00, 90.00, 147.61 degrees
Atoms (fractional coordinates):
1 Ce 0.0865 0.9135 0.7500
2 Ce 0.9135 0.0865 0.2500
3 Nd 0.3684 0.6316 0.5429
4 Nd 0.3684 0.6316 0.9571
5 Nd 0.6316 0.3684 0.0429
6 Nd 0.6316 0.3684 0.4571
7 V 0.1764 0.8236 0.2500
8 V 0.8236 0.1764 0.7500
9 N 0.0000 0.0000 0.0000
10 N 0.0000 0.0000 0.5000
11 N 0.2712 0.7288 0.1358
12 N 0.2712 0.7288 0.3642
13 N 0.4226 0.5774 0.7500
14 N 0.5774 0.4226 0.2500
15 N 0.7288 0.2712 0.6358
16 N 0.7288 0.2712 0.8642

---

8.
The following is a PBE calculation of an optimized crystal structure of LiHgPO2, from the Alexandria database.

Properties
Energy above the lowest structure with this stoichiometry in eV per atom: 0.0000
Spin magnetization in μB/cell: 0.00
SG: P4/mmm (123)
Calculated density in g cm⁻³: 6.25
E_form (uncorrected) in eV/atom: -0.460

Cell lengths 3.5854, 3.5854, 5.5947 Å; angles 90.00, 90.00, 90.00 degrees
Atoms (fractional coordinates):
1 Li 0.0000 0.0000 0.0000
2 Hg 0.5000 0.5000 0.0000
3 P 0.0000 0.0000 0.5000
4 O 0.0000 0.5000 0.5000
5 O 0.5000 0.0000 0.5000